[1]
# NaZr2CdRh

A geometry-optimized NaZr2CdRh structure (GGA-PBE, the Alexandria database).

Values from the calculation:
Size of the total moment: 0.01 μB/f.u.
Fermi-level density of states: 7.89 states/eV/cell

Unit cell a=5.290 b=4.971 c=5.290 alpha=90.00 beta=90.00 gamma=90.00
Fractional positions:
Na (0.500, 0.500, 0.500)
Rh (0.000, 0.500, 0.000)
Zr (0.000, 0.000, 0.500)
Zr (0.500, 0.000, 0.000)
Cd (0.000, 0.000, 0.000)

---

[2]
# Pu2Ga12Tc

A geometry-optimized Pu2Ga12Tc structure (GGA-PBE, the Alexandria database).

Values from the calculation:
Size of the total moment: 10.07 μB/f.u.
Fermi-level density of states: 50.83 states/eV/cell

Unit cell a=5.982 b=5.982 c=16.052 alpha=90.00 beta=90.00 gamma=90.00
Each line ends with the local moment (μB).
Fractional positions:
Pu (0.500, 0.000, 0.245)  5.28
Pu (0.000, 0.500, 0.245)  5.28
Pu (0.000, 0.500, 0.755)  5.28
Pu (0.500, 0.000, 0.755)  5.28
Ga (0.500, 0.500, 0.805)  -0.02
Ga (0.000, 0.000, 0.805)  -0.02
Ga (0.750, 0.750, 0.908)  -0.01
Ga (0.250, 0.750, 0.908)  -0.01
Ga (0.000, 0.000, 0.345)  -0.03
Ga (0.250, 0.750, 0.092)  -0.01
Ga (0.830, 0.330, 0.569)  -0.03
Ga (0.500, 0.500, 0.345)  -0.03
Ga (0.250, 0.250, 0.908)  -0.01
Ga (0.750, 0.750, 0.092)  -0.01
Ga (0.330, 0.170, 0.569)  -0.03
Ga (0.670, 0.170, 0.431)  -0.03
Ga (0.000, 0.000, 0.655)  -0.03
Ga (0.170, 0.330, 0.431)  -0.03
Ga (0.250, 0.250, 0.092)  -0.01
Ga (0.830, 0.670, 0.431)  -0.03
Ga (0.670, 0.830, 0.569)  -0.03
Ga (0.000, 0.000, 0.195)  -0.02
Ga (0.170, 0.670, 0.569)  -0.03
Ga (0.500, 0.500, 0.655)  -0.03
Ga (0.750, 0.250, 0.908)  -0.01
Ga (0.500, 0.500, 0.195)  -0.02
Ga (0.330, 0.830, 0.431)  -0.03
Ga (0.750, 0.250, 0.092)  -0.01
Tc (0.500, 0.000, 0.000)  -0.62
Tc (0.000, 0.500, 0.000)  -0.62

---

Ordered mass density results: 5.022; 8.227; unit g/cm3.
Ordered electronic total energy results: -4.212; -5.226; unit eV per atom.